# PBE TbYBr3N, optimized geometry
data_TbYBr3N
_symmetry_space_group_name_H-M 'C 1 2/m 1'
_symmetry_Int_Tables_number 12
_cell_length_a 18.6139
_cell_length_b 3.8833
_cell_length_c 11.7250
_cell_angle_alpha 90.00
_cell_angle_beta 125.80
_cell_angle_gamma 90.00
loop_
_symmetry_equiv_pos_as_xyz
'x,y,z'
'-x,-y,-z'
'-x,y,-z'
'x,-y,z'
'x+1/2,y+1/2,z'
'-x+1/2,-y+1/2,-z'
'-x+1/2,y+1/2,-z'
'x+1/2,-y+1/2,z'
loop_
_atom_site_label
_atom_site_fract_x
_atom_site_fract_y
_atom_site_fract_z
_atom_site_occupancy
Tb1 0.0736 0.0000 0.4607 1
Y1 0.1355 0.5000 0.7848 1
Br1 0.0350 0.5000 0.2480 1
Br2 0.1701 0.0000 0.0101 1
Br3 0.2139 0.5000 0.6205 1
N1 0.0748 0.0000 0.6540 1
# Total magnetic moment   0.01 μB/cell
# Density   4.85 g/cm3
# Total energy   -141.8 eV/cell

---

# PBE NaAg3SnSe4, optimized geometry
data_NaAg3SnSe4
_symmetry_space_group_name_H-M 'P -4 3 m'
_symmetry_Int_Tables_number 215
_symmetry_space_group_name_Hall 'P -4 2 3'
_cell_length_a 6.4669
_cell_length_b 6.4669
_cell_length_c 6.4669
_cell_angle_alpha 90.00
_cell_angle_beta 90.00
_cell_angle_gamma 90.00
loop_
_atom_site_label
_atom_site_fract_x
_atom_site_fract_y
_atom_site_fract_z
_atom_site_occupancy
Na1 0.0000 0.0000 0.0000 1
Ag1 0.0000 0.5000 0.5000 1
Sn1 0.5000 0.5000 0.5000 1
Se1 0.2689 0.2689 0.2689 1
# Density   4.80 g/cm3
# Total energy   -30.2 eV/cell

---

# PBE Rb4Ta2S11, optimized geometry
data_Rb4Ta2S11
_symmetry_space_group_name_H-M 'P c a 21'
_symmetry_Int_Tables_number 29
_cell_length_a 13.6706
_cell_length_b 7.7766
_cell_length_c 18.3997
_cell_angle_alpha 90.00
_cell_angle_beta 90.00
_cell_angle_gamma 90.00
loop_
_symmetry_equiv_pos_as_xyz
'x,y,z'
'-x,-y,z+1/2'
'-x+1/2,y,z+1/2'
'x+1/2,-y,z'
loop_
_atom_site_label
_atom_site_fract_x
_atom_site_fract_y
_atom_site_fract_z
_atom_site_occupancy
Rb1 0.0406 0.2051 0.0000 1
Rb2 0.0823 0.1847 0.3016 1
Rb3 0.2127 0.7997 0.1524 1
Rb4 0.2311 0.6640 0.9006 1
Ta1 0.0662 0.2608 0.7449 1
Ta2 0.1220 0.2094 0.5614 1
S1 0.0223 0.4607 0.6446 1
S2 0.0273 0.0364 0.6520 1
S3 0.0403 0.7492 0.0066 1
S4 0.0687 0.4031 0.4597 1
S5 0.0746 0.7480 0.3084 1
S6 0.1011 0.5693 0.7307 1
S7 0.1643 0.0267 0.7988 1
S8 0.1828 0.2638 0.8496 1
S9 0.1873 0.9899 0.4978 1
S10 0.2395 0.4067 0.0781 1
S11 0.2412 0.2332 0.6636 1
# Total magnetic moment   0.00 μB/cell
# Density   3.59 g/cm3
# Total energy   -355.7 eV/cell

---

# PBE AgPd2W, optimized geometry
data_AgPd2W
_symmetry_space_group_name_H-M 'F -4 3 m'
_symmetry_Int_Tables_number 216
_symmetry_space_group_name_Hall 'F -4 2 3'
_cell_length_a 6.3104
_cell_length_b 6.3104
_cell_length_c 6.3104
_cell_angle_alpha 90.00
_cell_angle_beta 90.00
_cell_angle_gamma 90.00
loop_
_atom_site_label
_atom_site_fract_x
_atom_site_fract_y
_atom_site_fract_z
_atom_site_occupancy
Ag1 0.0000 0.0000 0.0000 1
Pd1 0.0000 0.0000 0.5000 1
Pd2 0.2500 0.2500 0.2500 1
W1 0.2500 0.2500 0.7500 1
# Formation enthalpy at 0 K   0.42 eV/atom
# Total magnetic moment   0.06 μB/cell
# Density   13.34 g/cm3
# Total energy   -97.9 eV/cell

---

# PBE PuTe3, optimized geometry
data_PuTe3
_symmetry_space_group_name_H-M 'C m c m'
_symmetry_Int_Tables_number 63
_symmetry_space_group_name_Hall '-C 2c 2'
_cell_length_a 4.3654
_cell_length_b 26.2043
_cell_length_c 4.3668
_cell_angle_alpha 90.00
_cell_angle_beta 90.00
_cell_angle_gamma 90.00
loop_
_atom_site_label
_atom_site_fract_x
_atom_site_fract_y
_atom_site_fract_z
_atom_site_occupancy
Pu1 0.0000 0.1726 0.2500 1
Te1 0.0000 0.0790 0.7500 1
Te2 0.0000 0.2957 0.2500 1
Te3 0.0000 0.4210 0.7500 1
# Total magnetic moment   19.61 μB/cell
# Density   8.33 g/cm3
# Total energy   -106.6 eV/cell

---

# PBE Al2AgIr, optimized geometry
data_Al2AgIr
_symmetry_space_group_name_H-M 'F -4 3 m'
_symmetry_Int_Tables_number 216
_symmetry_space_group_name_Hall 'F -4 2 3'
_cell_length_a 6.2776
_cell_length_b 6.2776
_cell_length_c 6.2776
_cell_angle_alpha 90.00
_cell_angle_beta 90.00
_cell_angle_gamma 90.00
loop_
_atom_site_label
_atom_site_fract_x
_atom_site_fract_y
_atom_site_fract_z
_atom_site_occupancy
Al1 0.0000 0.0000 0.0000 1
Al2 0.2500 0.2500 0.2500 1
Ag1 0.0000 0.0000 0.5000 1
Ir1 0.2500 0.2500 0.7500 1
# Total magnetic moment   0.01 μB/cell
# Density   9.51 g/cm3
# Total energy   -77.9 eV/cell

---

# PBE Pm2WSe2, optimized geometry
data_Pm2WSe2
_symmetry_space_group_name_H-M 'F d d 2'
_symmetry_Int_Tables_number 43
_symmetry_space_group_name_Hall 'F 2 -2d'
_cell_length_a 11.9842
_cell_length_b 13.7108
_cell_length_c 5.6801
_cell_angle_alpha 90.00
_cell_angle_beta 90.00
_cell_angle_gamma 90.00
loop_
_atom_site_label
_atom_site_fract_x
_atom_site_fract_y
_atom_site_fract_z
_atom_site_occupancy
Pm1 0.1108 0.2993 0.0000 1
W1 0.0000 0.0000 0.2850 1
Se1 0.0663 0.3549 0.5049 1
# Total magnetic moment   1.48 μB/cell
# Density   8.99 g/cm3
# Total energy   -261.4 eV/cell

---

# PBE Sc2GePt, optimized geometry
data_Sc2GePt
_symmetry_space_group_name_H-M 'P 1 21/m 1'
_symmetry_Int_Tables_number 11
_cell_length_a 5.4663
_cell_length_b 4.2129
_cell_length_c 7.1430
_cell_angle_alpha 90.00
_cell_angle_beta 110.45
_cell_angle_gamma 90.00
loop_
_symmetry_equiv_pos_as_xyz
'x,y,z'
'-x,-y,-z'
'-x,y+1/2,-z'
'x,-y+1/2,z'
loop_
_atom_site_label
_atom_site_fract_x
_atom_site_fract_y
_atom_site_fract_z
_atom_site_occupancy
Sc1 0.2020 0.2500 0.4380 1
Sc2 0.2286 0.2500 0.9142 1
Ge1 0.3136 0.7500 0.2081 1
Pt1 0.3507 0.7500 0.7070 1
# Total magnetic moment   0.00 μB/cell
# Density   7.71 g/cm3
# Total energy   -55.1 eV/cell

---

# PBE RbLuNO, optimized geometry
data_RbLuNO
_symmetry_space_group_name_H-M 'P 4/n m m'
_symmetry_Int_Tables_number 129
_cell_length_a 4.4298
_cell_length_b 4.4298
_cell_length_c 9.9185
_cell_angle_alpha 90.00
_cell_angle_beta 90.00
_cell_angle_gamma 90.00
loop_
_symmetry_equiv_pos_as_xyz
'x,y,z'
'-x,-y,-z'
'-y+1/2,x,z'
'y+1/2,-x,-z'
'-x+1/2,-y+1/2,z'
'x+1/2,y+1/2,-z'
'y,-x+1/2,z'
'-y,x+1/2,-z'
'x+1/2,-y,-z'
'-x+1/2,y,z'
'-y,-x,-z'
'y,x,z'
'-x,y+1/2,-z'
'x,-y+1/2,z'
'y+1/2,x+1/2,-z'
'-y+1/2,-x+1/2,z'
loop_
_atom_site_label
_atom_site_fract_x
_atom_site_fract_y
_atom_site_fract_z
_atom_site_occupancy
Rb1 0.2500 0.2500 0.1503 1
Lu1 0.2500 0.7500 0.5000 1
N1 0.2500 0.2500 0.5441 1
O1 0.2500 0.7500 0.0000 1
# Total magnetic moment   2.00 μB/cell
# Density   4.96 g/cm3
# Total energy   -42.9 eV/cell

---

# PBE DySi2Au4, optimized geometry
data_DySi2Au4
_symmetry_space_group_name_H-M 'C m m m'
_symmetry_Int_Tables_number 65
_symmetry_space_group_name_Hall '-C 2 2'
_cell_length_a 4.3399
_cell_length_b 13.8604
_cell_length_c 4.3281
_cell_angle_alpha 90.00
_cell_angle_beta 90.00
_cell_angle_gamma 90.00
loop_
_atom_site_label
_atom_site_fract_x
_atom_site_fract_y
_atom_site_fract_z
_atom_site_occupancy
Dy1 0.0000 0.0000 0.0000 1
Si1 0.0000 0.4167 0.5000 1
Au1 0.0000 0.1712 0.5000 1
Au2 0.0000 0.3276 0.0000 1
# Total magnetic moment   0.00 μB/cell
# Density   12.84 g/cm3
# Total energy   -63.4 eV/cell

---

# PBE HfTcPd, optimized geometry
data_HfTcPd
_symmetry_space_group_name_H-M 'F -4 3 m'
_symmetry_Int_Tables_number 216
_symmetry_space_group_name_Hall 'F -4 2 3'
_cell_length_a 6.1600
_cell_length_b 6.1600
_cell_length_c 6.1600
_cell_angle_alpha 90.00
_cell_angle_beta 90.00
_cell_angle_gamma 90.00
loop_
_atom_site_label
_atom_site_fract_x
_atom_site_fract_y
_atom_site_fract_z
_atom_site_occupancy
Hf1 0.0000 0.0000 0.0000 1
Tc1 0.2500 0.2500 0.2500 1
Pd1 0.2500 0.2500 0.7500 1
# Formation enthalpy at 0 K   0.40 eV/atom
# Total magnetic moment   0.12 μB/cell
# Density   10.88 g/cm3
# Total energy   -97.2 eV/cell